(1)
Material: YOsCl2O
Method: DFT, GGA-PBE
State: optimized geometry

Values from the calculation:
theoretical density = 6.027 g/cm3
raw formation energy = -289.5 meV/atom

Unit cell a=5.263 b=5.263 c=3.641 alpha=90.00 beta=90.00 gamma=90.00
Space group P4/mmm (No. 123)
Inequivalent atoms, fractional coordinates:
Y1 0.000 0.000 0.000 x1
Os1 0.500 0.500 0.000 x1
Cl1 0.000 0.500 0.500 x2
O1 0.500 0.500 0.500 x1

***

(2)
Material: YOs2ClO
Method: DFT, GGA-PBE
State: optimized geometry

Values from the calculation:
theoretical density = 9.286 g/cm3
raw formation energy = 866.4 meV/atom

Unit cell a=4.183 b=4.183 c=5.322 alpha=90.00 beta=90.00 gamma=90.00
Space group P4/mmm (No. 123)
Inequivalent atoms, fractional coordinates:
Y1 0.000 0.000 0.000 x1
Os1 0.000 0.500 0.500 x2
Cl1 0.500 0.500 0.500 x1
O1 0.500 0.500 0.000 x1

***

(3)
Material: PCl3O
Method: DFT, GGA-PBE
State: optimized geometry

Values from the calculation:
theoretical density = 1.432 g/cm3
raw formation energy = -1072.7 meV/atom

Unit cell a=12.009 b=9.609 c=6.162 alpha=90.00 beta=90.00 gamma=90.00
Space group Pna2_1 (No. 33)
Inequivalent atoms, fractional coordinates:
P1 0.162 0.250 0.000 x4
Cl1 0.005 0.249 0.115 x4
Cl2 0.167 0.087 0.797 x4
Cl3 0.167 0.417 0.804 x4
O1 0.248 0.249 0.170 x4

***

(4)
Material: PCl2O
Method: DFT, GGA-PBE
State: optimized geometry

Values from the calculation:
theoretical density = 2.269 g/cm3
relative energy among the computed polymorphs = 10.3 kJ per mole of atoms
raw formation energy = 807.1 meV/atom

Unit cell a=4.873 b=4.873 c=14.530 alpha=90.00 beta=90.00 gamma=90.00
Space group I-42d (No. 122)
Inequivalent atoms, fractional coordinates:
P1 0.000 0.000 0.000 x4
Cl1 0.203 0.250 0.125 x8
O1 0.000 0.000 0.500 x4

***

> Which value of raw formation energy does entry 4 give?

807.1 meV/atom